Entry 1:
This record from Alexandria describes crystalline Tb3RuSeCl at its relaxed geometry. The functional is PBE.

## Properties
* magnetic moment: 0.0000 μB/atom
* energy relative to the elements, uncorrected: -1.12 eV/atom

Lattice parameters (Å, degrees): 8.509 3.953 9.614 90.00 93.19 90.00
Fractional positions:
Tb1 0.138 0.250 0.382
Tb2 0.153 0.250 0.829
Tb3 0.327 0.750 0.121
Tb4 0.673 0.250 0.879
Tb5 0.847 0.750 0.171
Tb6 0.862 0.750 0.618
Ru1 0.076 0.250 0.107
Ru2 0.924 0.750 0.893
Se1 0.410 0.750 0.832
Se2 0.590 0.250 0.168
Cl1 0.356 0.750 0.419
Cl2 0.644 0.250 0.581

---

Entry 2:
This record from Alexandria describes crystalline Sb2TeRuS at its relaxed geometry. The functional is PBE.

## Properties
* magnetic moment: 0.0778 μB/atom
* energy relative to the elements, uncorrected: 1.10 eV/atom
* distance to the lowest polymorph of the same formula: 0.544 eV/atom

Lattice parameters (Å, degrees): 5.062 5.062 5.043 90.00 90.00 90.00
Fractional positions:
Sb1 0.000 0.500 0.000
Sb2 0.500 0.000 0.000
Te1 0.000 0.000 0.500
Ru1 0.500 0.500 0.500
S1 0.000 0.000 0.000

---

Entry 3:
This record from Alexandria describes crystalline Li7Mo12Se16 at its relaxed geometry. The functional is PBE.

## Properties
* magnetic moment: 0.0000 μB/atom
* energy relative to the elements, uncorrected: -0.75 eV/atom

Lattice parameters (Å, degrees): 7.002 7.006 14.007 94.12 95.94 94.34
Fractional positions:
Li1 0.000 0.000 0.000
Li2 0.003 0.587 0.298
Li3 0.349 0.069 0.284
Li4 0.411 0.050 0.795
Li5 0.844 0.083 0.337
Li6 0.949 0.064 0.614
Li7 0.994 0.589 0.798
Mo1 0.220 0.581 0.511
Mo2 0.223 0.568 0.012
Mo3 0.392 0.279 0.576
Mo4 0.396 0.268 0.076
Mo5 0.435 0.618 0.683
Mo6 0.438 0.609 0.183
Mo7 0.519 0.451 0.426
Mo8 0.522 0.442 0.927
Mo9 0.561 0.791 0.533
Mo10 0.564 0.781 0.034
Mo11 0.734 0.491 0.598
Mo12 0.737 0.478 0.099
Se1 0.106 0.408 0.658
Se2 0.110 0.391 0.158
Se3 0.181 0.252 0.411
Se4 0.189 0.243 0.907
Se5 0.266 0.909 0.616
Se6 0.267 0.898 0.116
Se7 0.350 0.738 0.868
Se8 0.351 0.750 0.366
Se9 0.613 0.312 0.244
Se10 0.613 0.324 0.742
Se11 0.687 0.153 0.992
Se12 0.687 0.159 0.493
Se13 0.764 0.817 0.703
Se14 0.769 0.809 0.200
Se15 0.846 0.664 0.450
Se16 0.850 0.650 0.952

---

Entry 4:
This record from Alexandria describes crystalline Zn4FeRh at its relaxed geometry. The functional is PBE.

## Properties
* formation enthalpy at 0 K: 0.00 eV/atom
* magnetic moment: 0.5479 μB/atom

Lattice parameters (Å, degrees): 4.894 4.894 4.894 60.00 60.00 60.00
Fractional positions:
Zn1 0.125 0.125 0.125
Zn2 0.125 0.125 0.625
Zn3 0.125 0.625 0.125
Zn4 0.625 0.125 0.125
Fe1 0.750 0.750 0.750
Rh1 0.500 0.500 0.500

---

Entry 5:
This record from Alexandria describes crystalline Cs3TeF at its relaxed geometry. The functional is PBE.

## Properties
* magnetic moment: 0.0000 μB/atom
* energy relative to the elements, uncorrected: -1.58 eV/atom
* distance to the lowest polymorph of the same formula: 0.105 eV/atom

Lattice parameters (Å, degrees): 10.280 10.280 10.280 51.19 51.19 51.19
Fractional positions:
Cs1 0.061 0.750 0.439
Cs2 0.250 0.561 0.939
Cs3 0.439 0.061 0.750
Cs4 0.561 0.939 0.250
Cs5 0.750 0.439 0.061
Cs6 0.939 0.250 0.561
Te1 0.000 0.000 0.000
Te2 0.500 0.500 0.500
F1 0.250 0.250 0.250
F2 0.750 0.750 0.750

---

Entry 6:
This record from Alexandria describes crystalline BiHF2 at its relaxed geometry. The functional is PBE.

## Properties
* magnetic moment: 0.0000 μB/atom
* distance to the lowest polymorph of the same formula: 0.780 eV/atom

Lattice parameters (Å, degrees): 3.238 3.238 19.145 90.00 90.00 120.00
Fractional positions:
Bi1 0.000 0.000 0.000
Bi2 0.333 0.667 0.667
Bi3 0.667 0.333 0.333
H1 0.000 0.000 0.500
H2 0.333 0.667 0.167
H3 0.667 0.333 0.833
F1 0.000 0.000 0.119
F2 0.000 0.000 0.881
F3 0.333 0.667 0.548
F4 0.333 0.667 0.786
F5 0.667 0.333 0.214
F6 0.667 0.333 0.452

---

Entry 7:
This record from Alexandria describes crystalline NdHg6Pd6 at its relaxed geometry. The functional is PBE.

## Properties
* formation enthalpy at 0 K: -0.32 eV/atom
* magnetic moment: 0.0000 μB/atom

Lattice parameters (Å, degrees): 7.341 7.341 7.341 134.77 100.79 96.23
Fractional positions:
Nd1 0.000 0.000 0.000
Hg1 0.180 0.680 0.500
Hg2 0.336 0.000 0.336
Hg3 0.342 0.342 0.000
Hg4 0.658 0.658 0.000
Hg5 0.664 0.000 0.664
Hg6 0.820 0.320 0.500
Pd1 0.000 0.000 0.500
Pd2 0.000 0.500 0.000
Pd3 0.237 0.500 0.737
Pd4 0.500 0.000 0.000
Pd5 0.500 0.500 0.500
Pd6 0.763 0.500 0.263

---

Entry 8:
This record from Alexandria describes crystalline Ac6Tl6Ir at its relaxed geometry. The functional is PBE.

## Properties
* formation enthalpy at 0 K: -0.14 eV/atom
* magnetic moment: 0.0000 μB/atom

Lattice parameters (Å, degrees): 6.931 6.931 11.427 90.00 90.00 119.91
Fractional positions:
Ac1 0.000 0.000 0.239
Ac2 0.000 0.000 0.761
Ac3 0.333 0.667 0.000
Ac4 0.333 0.667 0.500
Ac5 0.667 0.333 0.000
Ac6 0.667 0.333 0.500
Tl1 0.000 0.500 0.256
Tl2 0.000 0.500 0.744
Tl3 0.500 0.000 0.256
Tl4 0.500 0.000 0.744
Tl5 0.500 0.500 0.256
Tl6 0.500 0.500 0.744
Ir1 0.000 0.000 0.000

---

Number 1: Fermi-level density of states 0.326 states/eV per atom, raw total energy -5.87 eV/atom. Number 2: Fermi-level density of states 0.875 states/eV per atom, raw total energy -3.86 eV/atom. Number 3: Fermi-level density of states 0.440 states/eV per atom, raw total energy -6.44 eV/atom. Number 4: Fermi-level density of states 0.755 states/eV per atom, raw total energy -3.49 eV/atom. Number 5: Fermi-level density of states 0.000 states/eV per atom, raw total energy -3.09 eV/atom. Number 6: Fermi-level density of states 0.268 states/eV per atom, raw total energy -3.36 eV/atom. Number 7: Fermi-level density of states 0.327 states/eV per atom, raw total energy -3.22 eV/atom. Number 8: Fermi-level density of states 0.999 states/eV per atom, raw total energy -3.81 eV/atom.